1.
Entry from Alexandria: an optimized crystal structure of SrCaSiHg (PBE-GGA).

Cell and atoms, written as POSCAR:
```
SrCaSiHg
1.0
5.386 0.000 0.000
2.693 4.664 0.000
2.693 1.555 4.398
Sr Hg Si Ca
1 1 1 1
direct
0.500 0.500 0.500
0.250 0.250 0.250
0.750 0.750 0.750
0.000 0.000 0.000
```

=====

2.
Entry from Alexandria: an optimized crystal structure of CaSi2TcHg (PBE-GGA).

Cell and atoms, written as POSCAR:
```
CaSi2TcHg
1.0
4.658 0.000 0.000
0.000 5.651 0.000
0.000 0.000 4.658
Tc Si Hg Ca
1 2 1 1
direct
0.000 0.000 0.000
0.500 0.000 0.000
0.000 0.000 0.500
0.500 0.500 0.500
0.000 0.500 0.000
```

=====

3.
Entry from Alexandria: an optimized crystal structure of Ca2TiSiHg (PBE-GGA).

Cell and atoms, written as POSCAR:
```
Ca2TiSiHg
1.0
5.556 0.000 0.000
0.000 4.860 0.000
0.000 0.000 5.556
Hg Ca Si Ti
1 2 1 1
direct
0.500 0.500 0.500
0.500 0.000 0.000
0.000 0.000 0.500
0.000 0.000 0.000
0.000 0.500 0.000
```

=====

4.
Entry from Alexandria: an optimized crystal structure of CaTlSi2Hg (PBE-GGA).

Cell and atoms, written as POSCAR:
```
CaTlSi2Hg
1.0
5.250 0.000 0.000
0.000 5.657 0.000
0.000 0.000 5.250
Hg Ca Si Tl
1 1 2 1
direct
0.000 0.500 0.000
0.500 0.500 0.500
0.000 0.000 0.500
0.500 0.000 0.000
0.000 0.000 0.000
```

=====

| no. | E_form (uncorrected) (eV per atom) |
| --- | --- |
| 1 | -0.4374 |
| 2 | 0.0684 |
| 3 | 0.0560 |
| 4 | 0.6688 |